No. 1
DFT (PBE-GGA) results for an optimized crystal structure of PaAlPt2.

Results
Electronic total energy in eV/atom: -7.364
Calculated volume in Å³ per cell: 77

Cell lengths 5.489, 5.489, 5.489 Å; angles 45.61, 45.61, 45.61 degrees
Element x y z (fractional)
Pa 0.000 0.000 0.000
Al 0.500 0.500 0.500
Pt 0.223 0.223 0.223
Pt 0.777 0.777 0.777


No. 2
DFT (PBE-GGA) results for an optimized crystal structure of ReAg2Ru.

Results
Offset from the most stable computed form in eV/f.u.: 0.141
Calculated volume in Å³ per cell: 65

Cell lengths 2.848, 2.848, 8.051 Å; angles 90.00, 90.00, 90.00 degrees
Element x y z (fractional)
Re 0.000 0.000 0.000
Ag 0.000 0.000 0.463
Ag 0.500 0.500 0.729
Ru 0.500 0.500 0.195


No. 3
DFT (PBE-GGA) results for an optimized crystal structure of PmCu2GeAu4.

Results
Electronic total energy in eV/atom: -4.061
Calculated volume in Å³ per cell: 152

Cell lengths 9.156, 9.156, 9.156 Å; angles 28.27, 28.27, 28.27 degrees
Element x y z (fractional)
Pm 0.000 0.000 0.000
Cu 0.244 0.244 0.244
Cu 0.756 0.756 0.756
Ge 0.500 0.500 0.500
Au 0.127 0.127 0.127
Au 0.396 0.396 0.396
Au 0.604 0.604 0.604
Au 0.873 0.873 0.873